# TlSiSe

A relaxed TlSiSe crystal (GGA-PBE, Alexandria via LeMat-Bulk).

Unit cell a=4.890 b=4.890 c=4.890 alpha=60.00 beta=60.00 gamma=60.00
Positions (direct):
Si: 0.500 0.500 0.500
Tl: 0.750 0.750 0.750
Se: 0.000 0.000 0.000

Results
As for the formation energy from raw total energies: 0.68 eV per atom. The value obtained for the total energy is -3.080 eV per atom. The density is 6.3 g cm⁻³. As for the energy above the lowest structure with this stoichiometry: 2.396 eV/f.u.

# CrCu2P

A relaxed CrCu2P crystal (GGA-PBE, Alexandria via LeMat-Bulk).

Unit cell a=4.432 b=4.432 c=4.645 alpha=68.83 beta=68.83 gamma=35.78
Last column: magnetic moment on the atom in μB.
Positions (direct):
Cr: 0.776 0.776 0.657  1.04
Cu: 0.990 0.990 0.038  0.03
Cu: 0.225 0.225 0.202  0.02
P: 0.510 0.510 0.602  -0.03

Results
The value obtained for the total energy is -5.716 eV per atom. The density is 7.1 g cm⁻³.